LiRu2Br: relaxed, PBE.

Summary:
Distance to the lowest polymorph of the same formula, meV/atom: 601
Formation energy without anion corrections, meV/atom: 765

```
LiRu2Br
1.0
4.923 0.004 0.000
-2.424 4.284 0.000
0.000 0.000 2.979
Li Br Ru
1 1 2
Direct
0.000 0.500 0.500
0.500 0.000 0.500
0.000 0.000 0.000
0.500 0.500 0.000
```